(1)
# HoHfIrRh

A relaxed HoHfIrRh crystal (PBE, Alexandria).

Output
DFT total energy, eV per atom: -8.602
Polymorph energy (0 for the lowest one), eV/atom: 0.000
Formation enthalpy at 0 K, eV per atom: -0.916

a = 3.321 Å, b = 3.321 Å, c = 6.820 Å
α = 90.00°, β = 90.00°, γ = 90.00°
Space group P4mm (No. 99)
Asymmetric unit:
1 Ho 0.000 0.000 0.000 x1
2 Hf 0.000 0.000 0.496 x1
3 Ir 0.500 0.500 0.273 x1
4 Rh 0.500 0.500 0.725 x1


(2)
# Ho2S2F

A relaxed Ho2S2F crystal (PBE, Alexandria).

Output
DFT total energy, eV per atom: -6.266
Polymorph energy (0 for the lowest one), eV/atom: 0.000
Uncorrected formation energy, eV/f.u.: -12.05

a = 12.154 Å, b = 3.603 Å, c = 10.348 Å
α = 90.00°, β = 123.30°, γ = 90.00°
Space group C2/m (No. 12)
Asymmetric unit:
1 Ho 0.014 0.000 0.356 x4
2 Ho 0.158 0.000 0.086 x4
3 S 0.025 0.500 0.161 x4
4 S 0.153 0.500 0.603 x4
5 F 0.201 0.000 0.884 x4


(3)
# SrNbNiAg

A relaxed SrNbNiAg crystal (PBE, Alexandria).

Output
DFT total energy, eV per atom: -4.787
Polymorph energy (0 for the lowest one), eV/atom: 0.160
Formation enthalpy at 0 K, eV per atom: 0.309

a = 4.2709 Å, b = 4.2709 Å, c = 18.8347 Å
α = 90.00°, β = 90.00°, γ = 120.00°
Space group R3m (No. 160, hexagonal axes)
Asymmetric unit:
1 Sr 0.0000 0.0000 0.0000 x3
2 Nb 0.0000 0.0000 0.1905 x3
3 Ni 0.0000 0.0000 0.8378 x3
4 Ag 0.0000 0.0000 0.4484 x3


(4)
# SnTePb2S5

A relaxed SnTePb2S5 crystal (PBE, Alexandria).

Output
DFT total energy, eV per atom: -4.157
Uncorrected formation energy, eV/f.u.: -2.22

a = 4.534 Å, b = 18.295 Å, c = 11.664 Å
α = 90.00°, β = 90.00°, γ = 90.00°
Space group Cmc2_1 (No. 36)
Asymmetric unit:
1 Sn 0.000 0.061 0.000 x4
2 Te 0.000 0.275 0.585 x4
3 Pb 0.000 0.375 0.239 x4
4 Pb 0.000 0.383 0.848 x4
5 S 0.000 0.019 0.328 x4
6 S 0.000 0.145 0.549 x4
7 S 0.000 0.174 0.882 x4
8 S 0.000 0.221 0.193 x4
9 S 0.000 0.452 0.597 x4


(5)
# CaY2Th

A relaxed CaY2Th crystal (PBE, Alexandria).

Output
DFT total energy, eV per atom: -5.540
Polymorph energy (0 for the lowest one), eV/atom: 0.008
Formation enthalpy at 0 K, eV per atom: 0.047

a = 3.6345 Å, b = 3.6345 Å, c = 35.8351 Å
α = 90.00°, β = 90.00°, γ = 120.00°
Space group R-3m (No. 166, hexagonal axes)
Asymmetric unit:
1 Ca 0.0000 0.0000 0.0000 x3
2 Y 0.0000 0.0000 0.2445 x6
3 Th 0.0000 0.0000 0.5000 x3


(6)
# CeY3Er

A relaxed CeY3Er crystal (PBE, Alexandria).

Output
DFT total energy, eV per atom: -5.915
Polymorph energy (0 for the lowest one), eV/atom: 0.014
Formation enthalpy at 0 K, eV per atom: 0.063

a = 5.019 Å, b = 25.211 Å, c = 10.005 Å
α = 90.00°, β = 90.00°, γ = 90.00°
Space group Imma (No. 74)
Asymmetric unit:
1 Ce 0.000 0.049 0.129 x8
2 Y 0.000 0.049 0.623 x8
3 Y 0.000 0.150 0.374 x8
4 Y 0.000 0.151 0.876 x8
5 Er 0.000 0.250 0.125 x4
6 Er 0.000 0.250 0.626 x4


(7)
# Ca2HfH

A relaxed Ca2HfH crystal (PBE, Alexandria).

Output
DFT total energy, eV per atom: -3.986
Polymorph energy (0 for the lowest one), eV/atom: 0.000

a = 3.3409 Å, b = 3.3409 Å, c = 28.2858 Å
α = 90.00°, β = 90.00°, γ = 120.00°
Space group R-3m (No. 166, hexagonal axes)
Asymmetric unit:
1 Ca 0.0000 0.0000 0.1131 x6
2 Hf 0.0000 0.0000 0.0000 x3
3 H 0.0000 0.0000 0.5000 x3


(8)
# SmTm3Ir8

A relaxed SmTm3Ir8 crystal (PBE, Alexandria).

Output
DFT total energy, eV per atom: -8.225
Formation enthalpy at 0 K, eV per atom: -0.807

a = 5.3513 Å, b = 5.3513 Å, c = 26.1960 Å
α = 90.00°, β = 90.00°, γ = 120.00°
Space group R3m (No. 160, hexagonal axes)
Asymmetric unit:
1 Sm 0.0000 0.0000 0.0000 x3
2 Tm 0.0000 0.0000 0.3759 x3
3 Tm 0.0000 0.0000 0.5004 x3
4 Tm 0.0000 0.0000 0.8746 x3
5 Ir 0.0000 0.0000 0.1876 x3
6 Ir 0.0000 0.0000 0.6878 x3
7 Ir 0.9995 0.4998 0.9369 x9
8 Ir 0.0009 0.5005 0.4384 x9


(9)
# TlCu2Pt

A relaxed TlCu2Pt crystal (PBE, Alexandria).

Output
DFT total energy, eV per atom: -4.070
Polymorph energy (0 for the lowest one), eV/atom: 0.022
Formation enthalpy at 0 K, eV per atom: 0.079

a = 4.143 Å, b = 4.143 Å, c = 7.340 Å
α = 90.00°, β = 90.00°, γ = 90.00°
Space group I4/mmm (No. 139)
Asymmetric unit:
1 Tl 0.000 0.000 0.000 x2
2 Cu 0.000 0.500 0.250 x4
3 Pt 0.000 0.000 0.500 x2


(10)
# Dy4Ir6O19

A relaxed Dy4Ir6O19 crystal (PBE, Alexandria).

Output
DFT total energy, eV per atom: -7.345
Uncorrected formation energy, eV/f.u.: -47.22

a = 9.014 Å, b = 9.014 Å, c = 9.014 Å
α = 90.00°, β = 90.00°, γ = 90.00°
Space group I23 (No. 197)
Asymmetric unit:
1 Dy 0.146 0.146 0.146 x8
2 Ir 0.000 0.156 0.500 x12
3 O 0.000 0.000 0.000 x2
4 O 0.000 0.000 0.327 x12
5 O 0.017 0.284 0.325 x24


(11)
# SrSbPb2

A relaxed SrSbPb2 crystal (PBE, Alexandria).

Output
DFT total energy, eV per atom: -3.633
Uncorrected formation energy, eV/f.u.: -1.31

a = 4.904 Å, b = 5.832 Å, c = 4.919 Å
α = 90.00°, β = 96.04°, γ = 90.00°
Space group P2/m (No. 10)
Asymmetric unit:
1 Sr 0.000 0.000 0.000 x1
2 Sb 0.500 0.000 0.500 x1
3 Pb 0.293 0.500 0.707 x2


(12)
# SrReCl4

A relaxed SrReCl4 crystal (PBE, Alexandria).

Output
DFT total energy, eV per atom: -3.173
Uncorrected formation energy, eV/f.u.: 2.48

a = 8.587 Å, b = 8.587 Å, c = 8.587 Å
α = 90.00°, β = 90.00°, γ = 90.00°
Space group F-43m (No. 216)
Asymmetric unit:
1 Sr 0.000 0.000 0.000 x4
2 Re 0.250 0.250 0.250 x4
3 Cl 0.125 0.125 0.625 x16


What is the formula in the fourth record? SnTePb2S5


DFT total energy of number 8 (SmTm3Ir8)? -8.225 eV per atom


Which formula does entry 9 have? TlCu2Pt


Among the records above, which one has the lowest DFT total energy? HoHfIrRh